Record 1
Density functional theory data (PBE-GGA) for a geometry-optimized Dy3Er2Te2 structure.

## Properties
* symmetry: C2/m, No. 12
* formation energy from raw total energies: -4.86 eV/f.u.
* DOS(E_F): 6.81 states/eV/cell
* raw total energy: -34.1 eV for the cell shown
* magnetic moment: 0.000 μB per atom

POSCAR file:
```
Dy3Er2Te2
1.0
6.557 -1.967 0.000
6.557 1.967 0.000
-3.089 0.000 7.859
Dy Er Te
3 2 2
Direct
0.000 0.000 0.000
0.118 0.118 0.443
0.882 0.882 0.557
0.363 0.363 0.200
0.637 0.637 0.800
0.317 0.317 0.796
0.683 0.683 0.204
```

---

Record 2
Density functional theory data (PBE-GGA) for a geometry-optimized Dy4Er2Te9 structure.

## Properties
* symmetry: C2/c, No. 15
* formation energy from raw total energies: -20.34 eV/f.u.
* raw total energy: -152.3 eV for the cell shown
* magnetic moment: 0.000 μB per atom

POSCAR file:
```
Dy4Er2Te9
1.0
6.642 -3.834 0.000
6.642 3.834 0.000
-0.002 0.000 21.020
Dy Er Te
8 4 18
Direct
0.166 0.167 0.324
0.167 0.166 0.824
0.167 0.167 0.009
0.167 0.167 0.509
0.833 0.833 0.491
0.833 0.833 0.991
0.833 0.834 0.176
0.834 0.833 0.676
0.500 0.500 0.158
0.500 0.500 0.342
0.500 0.500 0.658
0.500 0.500 0.842
0.149 0.832 0.084
0.150 0.519 0.584
0.168 0.481 0.916
0.168 0.851 0.416
0.188 0.500 0.250
0.188 0.812 0.750
0.481 0.168 0.416
0.481 0.850 0.916
0.500 0.188 0.750
0.500 0.812 0.250
0.519 0.150 0.084
0.519 0.832 0.584
0.812 0.188 0.250
0.812 0.500 0.750
0.832 0.149 0.584
0.832 0.519 0.084
0.850 0.481 0.416
0.851 0.168 0.916
```

---

Record 3
Density functional theory data (PBE-GGA) for a geometry-optimized Dy2Er2Te3 structure.

## Properties
* symmetry: C2/m, No. 12
* formation energy from raw total energies: -7.13 eV/f.u.
* DOS(E_F): 4.94 states/eV/cell
* raw total energy: -34.9 eV for the cell shown
* magnetic moment: 0.000 μB per atom

POSCAR file:
```
Dy2Er2Te3
1.0
7.083 -2.064 0.000
7.083 2.064 0.000
-1.478 0.000 7.163
Dy Er Te
2 2 3
Direct
0.114 0.114 0.319
0.886 0.886 0.681
0.390 0.390 0.098
0.610 0.610 0.902
0.232 0.232 0.739
0.500 0.500 0.500
0.768 0.768 0.261
```

---

Record 4
Density functional theory data (PBE-GGA) for a geometry-optimized Dy2Er3Te6 structure.

## Properties
* symmetry: C2/m, No. 12
* formation energy from raw total energies: -15.01 eV/f.u.
* DOS(E_F): 4.89 states/eV/cell
* raw total energy: -56.8 eV for the cell shown
* magnetic moment: 0.000 μB per atom

POSCAR file:
```
Dy2Er3Te6
1.0
3.743 -6.443 0.000
3.743 6.443 0.000
-2.503 0.000 7.019
Dy Er Te
2 3 6
Direct
0.164 0.836 0.000
0.836 0.164 0.000
0.000 0.000 0.500
0.329 0.671 0.500
0.671 0.329 0.500
0.097 0.419 0.755
0.261 0.261 0.248
0.419 0.097 0.755
0.581 0.903 0.245
0.739 0.739 0.752
0.903 0.581 0.245
```